Entry 1:
The following is a GGA-PBE calculation of a relaxed Y3Tl2Au crystal, from the Alexandria database. Values from VASP.

Results
VASP energy (eV/atom): -5.109
Formation energy (meV per atom): -542

Geometry as Quantum ESPRESSO input:
```
&SYSTEM
  ibrav = 0, nat = 6, ntyp = 3
/
ATOMIC_SPECIES
Y 88.91 Y.upf
Tl 204.38 Tl.upf
Au 196.97 Au.upf
CELL_PARAMETERS angstrom
3.605 0.000 0.000
0.000 3.605 0.000
0.000 0.000 12.086
ATOMIC_POSITIONS crystal
Y 0.000 0.000 0.000
Y 0.000 0.000 0.352
Y 0.000 0.000 0.648
Tl 0.500 0.500 0.175
Tl 0.500 0.500 0.825
Au 0.500 0.500 0.500
```

=====

Entry 2:
The following is a GGA-PBE calculation of a relaxed YTl2Au2 crystal, from the Alexandria database. Values from VASP.

Results
VASP energy (eV/atom): -3.662
E above lowest polymorph (eV per formula unit): 0.77
Formation energy (meV per atom): -112

Geometry as Quantum ESPRESSO input:
```
&SYSTEM
  ibrav = 0, nat = 10, ntyp = 3
/
ATOMIC_SPECIES
Y 88.91 Y.upf
Tl 204.38 Tl.upf
Au 196.97 Au.upf
CELL_PARAMETERS angstrom
8.253 0.000 0.000
0.000 8.253 0.000
0.000 0.000 3.591
ATOMIC_POSITIONS crystal
Y 0.000 0.000 0.000
Y 0.500 0.500 0.000
Tl 0.133 0.367 0.000
Tl 0.367 0.867 0.000
Tl 0.633 0.133 0.000
Tl 0.867 0.633 0.000
Au 0.168 0.668 0.500
Au 0.332 0.168 0.500
Au 0.668 0.832 0.500
Au 0.832 0.332 0.500
```